Computed, not measured: Fe4O13 after structural relaxation at the GGA+U level of DFT.

Summary:
The polymorph energy (0 for the lowest one) comes out at 19 meV/atom.

CIF file:
```
data_Fe4O13
_cell_length_a 6.296
_cell_length_b 6.296
_cell_length_c 6.296
_cell_angle_alpha 101.51
_cell_angle_beta 119.19
_cell_angle_gamma 108.23
_symmetry_space_group_name_H-M 'P 1'
_symmetry_Int_Tables_number 1
loop_
_symmetry_equiv_pos_as_xyz
'x,y,z'
loop_
_atom_site_label
_atom_site_type_symbol
_atom_site_fract_x
_atom_site_fract_y
_atom_site_fract_z
_atom_site_occupancy
O1 O 0.000 0.500 0.500 1
O2 O 0.862 0.042 0.180 1
O3 O 0.388 0.696 0.084 1
O4 O 0.597 0.206 0.391 1
O5 O 0.816 0.206 0.609 1
O6 O 0.184 0.794 0.391 1
O7 O 0.403 0.794 0.609 1
O8 O 0.612 0.304 0.916 1
O9 O 0.612 0.696 0.307 1
O10 O 0.862 0.681 0.820 1
O11 O 0.388 0.304 0.693 1
O12 O 0.138 0.958 0.820 1
O13 O 0.138 0.319 0.180 1
Fe1 Fe 0.500 0.000 0.000 1
Fe2 Fe 0.000 0.000 0.500 1
Fe3 Fe 0.500 0.500 0.500 1
Fe4 Fe 0.000 0.500 0.000 1
```